No. 1
Density functional theory data (GGA-PBE) for a geometry-optimized Ac3Ag9Pb2 structure.

Properties
Its density of states at the Fermi level is 0.591 states/eV per atom. As for the space group: Immm, No. 71.

a = 9.156 Å, b = 9.156 Å, c = 9.156 Å
α = 149.05°, β = 114.61°, γ = 74.10°
Fractional coordinates of all 14 atoms:
Ac 0.000 0.000 0.000
Ac 0.291 0.291 0.000
Ac 0.709 0.709 0.000
Ag 0.025 0.665 0.359
Ag 0.144 0.860 0.284
Ag 0.306 0.665 0.641
Ag 0.425 0.140 0.284
Ag 0.500 0.000 0.500
Ag 0.575 0.860 0.716
Ag 0.694 0.335 0.359
Ag 0.856 0.140 0.716
Ag 0.975 0.335 0.641
Pb 0.311 0.500 0.811
Pb 0.689 0.500 0.189

---

No. 2
Density functional theory data (GGA-PBE) for a geometry-optimized Ac3AgPb structure.

Properties
Its density of states at the Fermi level is 1.382 states/eV per atom. As for the space group: C2/m, No. 12.

a = 8.943 Å, b = 8.943 Å, c = 9.281 Å
α = 91.33°, β = 91.33°, γ = 30.24°
Fractional coordinates of all 10 atoms:
Ac 0.043 0.043 0.199
Ac 0.244 0.244 0.811
Ac 0.397 0.397 0.436
Ac 0.603 0.603 0.564
Ac 0.756 0.756 0.189
Ac 0.957 0.957 0.801
Ag 0.208 0.208 0.431
Ag 0.792 0.792 0.569
Pb 0.394 0.394 0.062
Pb 0.606 0.606 0.938

---

No. 3
Density functional theory data (GGA-PBE) for a geometry-optimized Ac5Ag2Pb2 structure.

Properties
Its density of states at the Fermi level is 0.988 states/eV per atom. As for the space group: Cmce, No. 64.

a = 9.602 Å, b = 9.602 Å, c = 8.777 Å
α = 90.00°, β = 90.00°, γ = 54.45°
Fractional coordinates of all 18 atoms:
Ac 0.000 0.000 0.000
Ac 0.037 0.693 0.668
Ac 0.193 0.537 0.168
Ac 0.307 0.963 0.668
Ac 0.463 0.807 0.168
Ac 0.500 0.500 0.500
Ac 0.537 0.193 0.832
Ac 0.693 0.037 0.332
Ac 0.807 0.463 0.832
Ac 0.963 0.307 0.332
Ag 0.122 0.878 0.376
Ag 0.378 0.622 0.876
Ag 0.622 0.378 0.124
Ag 0.878 0.122 0.624
Pb 0.207 0.207 0.000
Pb 0.293 0.293 0.500
Pb 0.707 0.707 0.500
Pb 0.793 0.793 0.000

---

No. 4
Density functional theory data (GGA-PBE) for a geometry-optimized Ac3Ag2Pb structure.

Properties
Its density of states at the Fermi level is 1.133 states/eV per atom. As for the space group: Cmmm, No. 65.

a = 5.687 Å, b = 17.084 Å, c = 4.075 Å
α = 90.00°, β = 90.00°, γ = 90.00°
Fractional coordinates of all 12 atoms:
Ac 0.000 0.000 0.000
Ac 0.000 0.329 0.000
Ac 0.000 0.671 0.000
Ac 0.500 0.171 0.000
Ac 0.500 0.500 0.000
Ac 0.500 0.829 0.000
Ag 0.000 0.170 0.500
Ag 0.000 0.830 0.500
Ag 0.500 0.330 0.500
Ag 0.500 0.670 0.500
Pb 0.000 0.500 0.500
Pb 0.500 0.000 0.500

---

| no. | formation energy from the elements (eV/atom) |
| --- | --- |
| 1 | -0.21 |
| 2 | -0.28 |
| 3 | -0.33 |
| 4 | -0.32 |